(1)
First-principles (PBE) data for a relaxed Rb2LiAg3Se4 crystal, as listed in the Alexandria database.

Output
Electronic total energy   -3.23 eV per atom
Symmetry   P-4m2 (115)

a = 4.836 Å, b = 4.836 Å, c = 10.689 Å
α = 90.00°, β = 90.00°, γ = 90.00°
Sites, in units of the cell vectors:
Li: 0.500 0.500 0.500
Ag: 0.000 0.500 0.118
Ag: 0.500 0.000 0.882
Ag: 0.000 0.000 0.500
Se: 0.000 0.500 0.373
Se: 0.000 0.000 0.000
Se: 0.500 0.500 0.000
Se: 0.500 0.000 0.627
Rb: 0.000 0.500 0.747
Rb: 0.500 0.000 0.253

(2)
First-principles (PBE) data for a relaxed BTeOsN2 crystal, as listed in the Alexandria database.

Output
Symmetry   P4/mmm (123)
ΔE to the lowest computed polymorph   0.00 eV/f.u.

a = 3.751 Å, b = 3.751 Å, c = 5.757 Å
α = 90.00°, β = 90.00°, γ = 90.00°
Sites, in units of the cell vectors:
Te: 0.000 0.000 0.500
N: 0.500 0.000 0.000
N: 0.000 0.500 0.000
Os: 0.000 0.000 0.000
B: 0.500 0.500 0.500

The calculation returns the following density of states at the Fermi level values, one per record and in order: 0.46; 0.51 states/eV/atom.